Record 1
This record from Alexandria via LeMat-Bulk describes a relaxed structure of Tm3SbP2. The functional is PBE-GGA.

Cell lengths 4.884, 6.503, 9.612 Å; angles 90.00, 90.00, 112.06 degrees
Element x y z (fractional)
Tm (0.626, 0.253, 0.452)
Tm (0.374, 0.747, 0.952)
P (0.530, 0.060, 0.750)
Tm (0.374, 0.747, 0.548)
Sb (0.222, 0.445, 0.250)
P (0.000, 0.000, 0.500)
P (0.000, 0.000, 0.000)
Tm (0.903, 0.807, 0.250)
Sb (0.778, 0.555, 0.750)
P (0.470, 0.940, 0.250)
Tm (0.097, 0.193, 0.750)
Tm (0.626, 0.253, 0.048)

Properties
- Energy relative to the elements, uncorrected: -0.967 eV/atom
- E: -5.693 eV per atom
- SG: No. 63
- Spin magnetization: 0.000 μB per cell
- ρ: 8.1 g/cm³
- Volume: 23.580 Å³ per atom

***

Record 2
This record from Alexandria via LeMat-Bulk describes a relaxed structure of TmSbP. The functional is PBE-GGA.

Cell lengths 5.027, 5.027, 7.630 Å; angles 70.77, 70.77, 60.00 degrees
Element x y z (fractional)
Sb (0.846, 0.846, 0.461)
P (0.724, 0.724, 0.827)
Tm (0.596, 0.596, 0.211)
Sb (0.154, 0.154, 0.539)
P (0.276, 0.276, 0.173)
Tm (0.404, 0.404, 0.789)

Properties
- Energy relative to the elements, uncorrected: -0.524 eV/atom
- E: -5.192 eV per atom
- SG: No. 166
- Spin magnetization: 0.000 μB per cell
- ρ: 6.9 g/cm³
- Volume: 25.734 Å³ per atom

***

Record 3
This record from Alexandria via LeMat-Bulk describes a relaxed structure of USbP. The functional is PBE-GGA.

Cell lengths 4.234, 4.234, 9.242 Å; angles 76.76, 76.76, 60.00 degrees
Element x y z (fractional)
Sb (0.701, 0.701, 0.897)
P (0.165, 0.165, 0.504)
Sb (0.299, 0.299, 0.103)
U (0.558, 0.558, 0.325)
P (0.835, 0.835, 0.496)
U (0.442, 0.442, 0.675)

Properties
- Energy relative to the elements, uncorrected: -0.258 eV/atom
- E: -7.198 eV per atom
- Energy relative to the lowest polymorph listed for this composition: 3.1 kJ/mol of atoms
- SG: No. 166
- Spin magnetization: 4.537 μB per cell
- ρ: 9.4 g/cm³
- Volume: 23.064 Å³ per atom

***

Record 4
This record from Alexandria via LeMat-Bulk describes a relaxed structure of U3SbP3. The functional is PBE-GGA.

Cell lengths 8.438, 8.438, 7.374 Å; angles 55.10, 55.10, 60.00 degrees
Element x y z (fractional)
P (0.791, 0.092, 0.733)
U (0.924, 0.272, 0.242)
P (0.209, 0.908, 0.267)
P (0.908, 0.616, 0.267)
U (0.272, 0.562, 0.242)
Sb (0.664, 0.664, 0.009)
P (0.384, 0.791, 0.733)
U (0.438, 0.076, 0.758)
U (0.076, 0.728, 0.758)
Sb (0.336, 0.336, 0.991)
P (0.092, 0.384, 0.733)
U (0.562, 0.924, 0.242)
P (0.616, 0.209, 0.267)
U (0.728, 0.438, 0.758)

Properties
- Energy relative to the elements, uncorrected: -0.515 eV/atom
- E: -8.260 eV per atom
- SG: No. 148
- Spin magnetization: 11.597 μB per cell
- ρ: 9.0 g/cm³
- Volume: 24.382 Å³ per atom

***

Record 5
This record from Alexandria via LeMat-Bulk describes a relaxed structure of USbP2. The functional is PBE-GGA.

Cell lengths 3.985, 3.985, 8.451 Å; angles 76.36, 76.36, 60.00 degrees
Element x y z (fractional)
P (0.890, 0.890, 0.331)
Sb (0.000, 0.000, 0.000)
U (0.500, 0.500, 0.500)
P (0.110, 0.110, 0.669)

Properties
- Energy relative to the elements, uncorrected: -0.057 eV/atom
- E: -6.615 eV per atom
- SG: No. 166
- Spin magnetization: 0.934 μB per cell
- ρ: 6.3 g/cm³
- Volume: 27.965 Å³ per atom

***

Record 6
This record from Alexandria via LeMat-Bulk describes a relaxed structure of U2SbP. The functional is PBE-GGA.

Cell lengths 4.087, 4.087, 7.315 Å; angles 73.78, 73.78, 60.00 degrees
Element x y z (fractional)
U (0.737, 0.737, 0.788)
U (0.263, 0.263, 0.212)
Sb (0.500, 0.500, 0.500)
P (0.000, 0.000, 0.000)

Properties
- Energy relative to the elements, uncorrected: -0.551 eV/atom
- E: -8.578 eV per atom
- SG: No. 166
- Spin magnetization: 4.470 μB per cell
- ρ: 10.4 g/cm³
- Volume: 25.040 Å³ per atom

***

Record 7
This record from Alexandria via LeMat-Bulk describes a relaxed structure of U2SbP. The functional is PBE-GGA.

Cell lengths 3.952, 3.952, 7.771 Å; angles 75.27, 75.27, 60.00 degrees
Element x y z (fractional)
Sb (0.499, 0.499, 0.503)
U (0.263, 0.263, 0.212)
P (0.668, 0.668, 0.997)
U (0.071, 0.071, 0.788)

Properties
- Energy relative to the elements, uncorrected: -0.480 eV/atom
- E: -8.507 eV per atom
- SG: No. 160
- Spin magnetization: 4.636 μB per cell
- ρ: 10.4 g/cm³
- Volume: 25.115 Å³ per atom

***

Record 8
This record from Alexandria via LeMat-Bulk describes a relaxed structure of USbP. The functional is PBE-GGA.

Cell lengths 4.060, 4.484, 4.484 Å; angles 120.00, 90.00, 90.00 degrees
Element x y z (fractional)
U (0.167, 0.667, 0.333)
P (0.166, 0.000, 0.000)
Sb (0.667, 0.333, 0.667)

Properties
- Energy relative to the elements, uncorrected: -0.219 eV/atom
- E: -7.159 eV per atom
- Energy relative to the lowest polymorph listed for this composition: 6.8 kJ/mol of atoms
- SG: No. 187
- Spin magnetization: 0.481 μB per cell
- ρ: 9.2 g/cm³
- Volume: 23.566 Å³ per atom

***

Record 9
This record from Alexandria via LeMat-Bulk describes a relaxed structure of USbP. The functional is PBE-GGA.

Cell lengths 3.464, 3.464, 6.098 Å; angles 106.50, 106.50, 90.00 degrees
Element x y z (fractional)
P (0.308, 0.308, 0.615)
U (0.700, 0.700, 0.400)
Sb (0.992, 0.992, 0.985)

Properties
- Energy relative to the elements, uncorrected: -0.290 eV/atom
- E: -7.230 eV per atom
- Energy relative to the lowest polymorph listed for this composition: 0.0 kJ/mol of atoms
- SG: No. 107
- Spin magnetization: 1.744 μB per cell
- ρ: 9.7 g/cm³
- Volume: 22.341 Å³ per atom

***

Record 10
This record from Alexandria via LeMat-Bulk describes a relaxed structure of USbP. The functional is PBE-GGA.

Cell lengths 2.991, 3.805, 13.509 Å; angles 90.00, 90.00, 113.14 degrees
Element x y z (fractional)
Sb (0.092, 0.185, 0.819)
U (0.489, 0.977, 0.500)
Sb (0.092, 0.185, 0.181)
P (0.793, 0.586, 0.635)
U (0.407, 0.814, 0.000)
P (0.793, 0.586, 0.365)

Properties
- Energy relative to the elements, uncorrected: 0.079 eV/atom
- E: -6.861 eV per atom
- Energy relative to the lowest polymorph listed for this composition: 35.6 kJ/mol of atoms
- SG: No. 38
- Spin magnetization: 1.140 μB per cell
- ρ: 9.2 g/cm³
- Volume: 23.567 Å³ per atom

***

Record 11
This record from Alexandria via LeMat-Bulk describes a relaxed structure of V2SbP. The functional is PBE-GGA.

Cell lengths 7.045, 7.045, 5.679 Å; angles 51.67, 51.67, 90.00 degrees
Element x y z (fractional)
V (0.375, 0.446, 0.750)
V (0.554, 0.125, 0.250)
V (0.196, 0.625, 0.250)
V (0.875, 0.804, 0.750)
P (0.250, 0.750, 0.500)
Sb (0.750, 0.250, 0.500)
P (0.500, 0.500, 0.000)
Sb (0.000, 0.000, 0.000)

Properties
- Energy relative to the elements, uncorrected: 0.031 eV/atom
- E: -6.911 eV per atom
- SG: No. 122
- Spin magnetization: 0.000 μB per cell
- ρ: 6.2 g/cm³
- Volume: 16.922 Å³ per atom

***

Record 12
This record from Alexandria via LeMat-Bulk describes a relaxed structure of VSbP3. The functional is PBE-GGA.

Cell lengths 4.597, 4.597, 4.597 Å; angles 90.00, 90.00, 90.00 degrees
Element x y z (fractional)
V (0.000, 0.000, 0.000)
P (0.000, 0.000, 0.500)
Sb (0.500, 0.500, 0.500)
P (0.500, 0.000, 0.000)
P (0.000, 0.500, 0.000)

Properties
- Energy relative to the elements, uncorrected: 0.372 eV/atom
- E: -5.522 eV per atom
- Energy relative to the lowest polymorph listed for this composition: 0.0 kJ/mol of atoms
- SG: No. 221
- Spin magnetization: 0.000 μB per cell
- ρ: 4.5 g/cm³
- Volume: 19.423 Å³ per atom

***

Record 13
This record from Alexandria via LeMat-Bulk describes a relaxed structure of VSbP2. The functional is PBE-GGA.

Cell lengths 5.789, 5.789, 7.029 Å; angles 65.68, 65.68, 90.00 degrees
Element x y z (fractional)
P (0.576, 0.125, 0.250)
P (0.375, 0.424, 0.750)
Sb (0.750, 0.250, 0.500)
V (0.250, 0.750, 0.500)
V (0.500, 0.500, 0.000)
P (0.174, 0.625, 0.250)
Sb (0.000, 0.000, 0.000)
P (0.875, 0.826, 0.750)

Properties
- Energy relative to the elements, uncorrected: 0.119 eV/atom
- E: -5.896 eV per atom
- SG: No. 122
- Spin magnetization: 3.906 μB per cell
- ρ: 4.1 g/cm³
- Volume: 23.936 Å³ per atom

***

Record 14
This record from Alexandria via LeMat-Bulk describes a relaxed structure of VSbP3. The functional is PBE-GGA.

Cell lengths 4.967, 4.967, 4.967 Å; angles 90.00, 90.00, 90.00 degrees
Element x y z (fractional)
Sb (0.000, 0.000, 0.000)
P (0.000, 0.500, 0.000)
P (0.000, 0.000, 0.500)
V (0.500, 0.500, 0.500)
P (0.500, 0.000, 0.000)

Properties
- Energy relative to the elements, uncorrected: 1.389 eV/atom
- E: -4.505 eV per atom
- Energy relative to the lowest polymorph listed for this composition: 98.1 kJ/mol of atoms
- SG: No. 221
- Spin magnetization: 2.848 μB per cell
- ρ: 3.6 g/cm³
- Volume: 24.508 Å³ per atom